No. 1
Material: LaReAgAs2
Method: DFT, PBE
State: optimized geometry

Cell: 5.6071 5.1092 5.6071 Å, 90.00 90.00 90.00°
Closest atoms and distances in Å follow each position.
Sites, in units of the cell vectors:
1 Re 0.0000 0.5000 0.0000  2 La 2.55
2 As 0.0000 0.0000 0.5000  2 La 2.80
3 As 0.5000 0.0000 0.0000  2 La 2.80
4 Ag 0.5000 0.5000 0.5000  8 As 3.79, 4 Re 3.96
5 La 0.0000 0.0000 0.0000  2 Re 2.55, 4 As 2.80

Output
As for the space-group type: P4/mmm (123). The energy relative to the elements is 1.682 eV/atom.



No. 2
Material: Dy2Ga9Hg
Method: DFT, PBE
State: optimized geometry

Cell: 4.2492 4.2492 13.3040 Å, 90.00 90.00 90.00°
Closest atoms and distances in Å follow each position.
Sites, in units of the cell vectors:
1 Dy 0.0000 0.0000 0.3399  12 Ga 3.00-3.10
2 Dy 0.0000 0.0000 0.6601  12 Ga 3.00-3.10
3 Ga 0.5000 0.5000 0.0000  4 Hg 3.00, 8 Ga 3.11
4 Ga 0.5000 0.5000 0.3427  8 Ga 2.98-3.13, 4 Dy 3.00
5 Ga 0.5000 0.5000 0.6573  8 Ga 2.98-3.13, 4 Dy 3.00
6 Ga 0.5000 0.0000 0.1703  8 Ga 3.00-3.13, 2 Dy 3.10, 2 Hg 3.11
7 Ga 0.5000 0.0000 0.5000  8 Ga 2.98-3.00, 4 Dy 3.01
8 Ga 0.5000 0.0000 0.8297  8 Ga 3.00-3.13, 2 Dy 3.10, 2 Hg 3.11
9 Ga 0.0000 0.5000 0.1703  8 Ga 3.00-3.13, 2 Dy 3.10, 2 Hg 3.11
10 Ga 0.0000 0.5000 0.5000  8 Ga 2.98-3.00, 4 Dy 3.01
11 Ga 0.0000 0.5000 0.8297  8 Ga 3.00-3.13, 2 Dy 3.10, 2 Hg 3.11
12 Hg 0.0000 0.0000 0.0000  12 Ga 3.00-3.11

Output
As for the space-group type: P4/mmm (123). The energy relative to the elements is -0.283 eV/atom.



No. 3
Material: Ag2Cl
Method: DFT, PBE
State: optimized geometry

Cell: 3.3624 3.3624 6.0920 Å, 90.00 90.00 120.00°
Closest atoms and distances in Å follow each position.
Sites, in units of the cell vectors:
1 Ag 0.6667 0.3333 0.6708  3 Cl 2.79, 3 Ag 2.85
2 Ag 0.3333 0.6667 0.3292  3 Cl 2.79, 3 Ag 2.85
3 Cl 0.0000 0.0000 0.0000  6 Ag 2.79

Output
As for the space-group type: P-3m1 (164). The calculation puts the formation energy without anion corrections at -0.123 eV/atom.



No. 4
Material: Rb3AgHg3
Method: DFT, PBE
State: optimized geometry

Cell: 5.2081 6.9467 16.7797 Å, 85.57 81.07 67.98°
Closest atoms and distances in Å follow each position.
Sites, in units of the cell vectors:
1 Rb 0.5324 0.3273 0.6080  7 Hg 3.63-3.95, 4 Ag 3.71-3.85
2 Rb 0.4676 0.6727 0.3920  7 Hg 3.63-3.95, 4 Ag 3.71-3.85
3 Rb 0.2408 0.2780 0.2405  6 Hg 3.64-3.86, 2 Ag 3.88
4 Rb 0.7592 0.7220 0.7595  6 Hg 3.64-3.86, 2 Ag 3.88
5 Rb 0.3940 0.2932 0.9189  7 Hg 3.73-3.89
6 Rb 0.6060 0.7068 0.0811  7 Hg 3.73-3.89
7 Ag 0.7597 0.0825 0.3980  4 Hg 2.95-3.11
8 Ag 0.2403 0.9175 0.6020  4 Hg 2.95-3.11
9 Hg 0.8506 0.7586 0.5402  3 Ag 2.99-3.11
10 Hg 0.1494 0.2414 0.4598  3 Ag 2.99-3.11
11 Hg 0.1018 0.8776 0.9189  2 Hg 3.08-3.15
12 Hg 0.8982 0.1224 0.0811  2 Hg 3.08-3.15
13 Hg 0.9434 0.8717 0.2416  1 Ag 2.95, 1 Hg 3.08
14 Hg 0.0566 0.1283 0.7584  1 Ag 2.95, 1 Hg 3.08

Output
As for the space-group type: C2/m (12). The energy relative to the elements is -0.179 eV/atom.



No. 5
Material: La2YU2Ru5
Method: DFT, PBE
State: optimized geometry

Cell: 3.5192 11.0081 11.0081 Å, 90.00 90.00 90.00°
Closest atoms and distances in Å follow each position.
Sites, in units of the cell vectors:
1 La 0.0000 0.6765 0.1765  1 U 2.90, 4 Ru 3.24
2 La 0.0000 0.3235 0.8235  1 U 2.90, 4 Ru 3.24
3 La 0.0000 0.1765 0.3235  1 U 2.90, 4 Ru 3.24
4 La 0.0000 0.8235 0.6765  1 U 2.90, 4 Ru 3.24
5 Y 0.0000 0.0000 0.0000  8 Ru 3.03
6 Y 0.0000 0.5000 0.5000  8 Ru 3.03
7 U 0.0000 0.1372 0.6372  6 Ru 2.56-2.77
8 U 0.0000 0.8628 0.3628  6 Ru 2.56-2.77
9 U 0.0000 0.6372 0.8628  6 Ru 2.56-2.77
10 U 0.0000 0.3628 0.1372  6 Ru 2.56-2.77
11 Ru 0.5000 0.2194 0.0474  2 U 2.56
12 Ru 0.5000 0.7806 0.9526  2 U 2.56
13 Ru 0.5000 0.0474 0.7806  2 U 2.56
14 Ru 0.5000 0.7194 0.4526  2 U 2.56
15 Ru 0.5000 0.9526 0.2194  2 U 2.56
16 Ru 0.5000 0.2806 0.5474  2 U 2.56
17 Ru 0.5000 0.5474 0.7194  2 U 2.56
18 Ru 0.5000 0.4526 0.2806  2 U 2.56
19 Ru 0.5000 0.5000 0.0000  4 U 2.77
20 Ru 0.5000 0.0000 0.5000  4 U 2.77

Output
As for the space-group type: P4/mbm (127). The energy relative to the elements is -0.226 eV/atom.



No. 6
Material: Tb2BiC
Method: DFT, PBE
State: optimized geometry

Cell: 3.6933 3.6933 8.1719 Å, 76.94 76.94 60.00°
Closest atoms and distances in Å follow each position.
Sites, in units of the cell vectors:
1 C 0.0000 0.0000 0.0000  6 Tb 2.51
2 Tb 0.2771 0.2771 0.1688  3 C 2.51
3 Tb 0.7229 0.7229 0.8312  3 C 2.51
4 Bi 0.5000 0.5000 0.5000  6 Tb 3.37, 6 Bi 3.69

Output
As for the space-group type: R-3m (166). The energy relative to the elements is -0.563 eV/atom.



No. 7
Material: PmYZnGa
Method: DFT, PBE
State: optimized geometry

Cell: 5.1302 5.1302 5.1302 Å, 60.00 60.00 60.00°
Closest atoms and distances in Å follow each position.
Sites, in units of the cell vectors:
1 Y 0.7500 0.7500 0.7500  4 Zn 3.14, 4 Ga 3.14
2 Zn 0.5000 0.5000 0.5000  4 Pm 3.14, 4 Y 3.14
3 Ga 0.0000 0.0000 0.0000  4 Y 3.14, 4 Pm 3.14
4 Pm 0.2500 0.2500 0.2500  4 Zn 3.14, 4 Ga 3.14

Output
As for the space-group type: F-43m (216). The energy relative to the elements is -0.478 eV/atom.



No. 8
Material: Ce2YSn
Method: DFT, PBE
State: optimized geometry

Cell: 5.1816 4.5974 4.5974 Å, 90.00 90.00 90.00°
Closest atoms and distances in Å follow each position.
Sites, in units of the cell vectors:
1 Y 0.5000 0.5000 0.5000  4 Sn 3.25, 8 Ce 3.46
2 Sn 0.5000 0.0000 0.0000  4 Y 3.25, 8 Ce 3.46
3 Ce 0.0000 0.0000 0.5000  4 Ce 3.25, 4 Sn 3.46, 4 Y 3.46
4 Ce 0.0000 0.5000 0.0000  4 Ce 3.25, 4 Sn 3.46, 4 Y 3.46

Output
As for the space-group type: P4/mmm (123). The energy relative to the elements is -0.404 eV/atom.



No. 9
Material: Re4OsAu
Method: DFT, PBE
State: optimized geometry

Cell: 5.1546 5.1546 5.1546 Å, 60.00 60.00 60.00°
Closest atoms and distances in Å follow each position.
Sites, in units of the cell vectors:
1 Re 0.8726 0.3758 0.3758  6 Re 2.56-2.59
2 Re 0.3758 0.3758 0.8726  6 Re 2.56-2.59
3 Re 0.3758 0.8726 0.3758  6 Re 2.56-2.59
4 Re 0.3758 0.3758 0.3758  6 Re 2.56-2.59
5 Os 0.0000 0.0000 0.0000  12 Re 3.02, 4 Au 3.16
6 Au 0.7500 0.7500 0.7500  12 Re 3.02, 4 Os 3.16

Output
As for the space-group type: F-43m (216). The energy relative to the elements is 0.664 eV/atom.



No. 10
Material: Cr2InNi
Method: DFT, PBE
State: optimized geometry

Cell: 3.0857 3.0857 6.4668 Å, 90.00 90.00 90.00°
Closest atoms and distances in Å follow each position.
Sites, in units of the cell vectors:
1 Cr 0.0000 0.0000 0.9633  4 Ni 2.58, 1 Cr 2.76, 4 In 2.86
2 Cr 0.0000 0.0000 0.5367  4 Ni 2.58, 1 Cr 2.76, 4 In 2.86
3 In 0.5000 0.5000 0.2500  8 Cr 2.86, 4 In 3.09
4 Ni 0.5000 0.5000 0.7500  8 Cr 2.58

Output
As for the space-group type: P4/mmm (123). The energy relative to the elements is 0.364 eV/atom.



No. 11
Material: Ba6As2Br3Cl
Method: DFT, PBE
State: optimized geometry

Cell: 4.7632 9.5160 10.6615 Å, 104.02 102.91 90.00°
Closest atoms and distances in Å follow each position.
Sites, in units of the cell vectors:
1 Ba 0.3360 0.8998 0.6720  2 As 3.21, 1 Cl 3.30, 3 Br 3.42-3.49
2 Ba 0.6730 0.5662 0.3460  3 As 3.27-3.30, 3 Br 3.49-3.51
3 Ba 0.6640 0.1002 0.3280  2 As 3.21, 1 Cl 3.30, 3 Br 3.42-3.49
4 Ba 0.0063 0.2473 0.0127  1 As 3.16, 2 Cl 3.33, 3 Br 3.41-3.48
5 Ba 0.9937 0.7527 0.9873  1 As 3.16, 2 Cl 3.33, 3 Br 3.41-3.48
6 Ba 0.3270 0.4338 0.6540  3 As 3.27-3.30, 3 Br 3.49-3.51
7 As 0.8369 0.6745 0.6738  6 Ba 3.16-3.30
8 As 0.1631 0.3255 0.3262  6 Ba 3.16-3.30
9 Br 0.5000 0.5000 0.0000  6 Ba 3.41-3.49
10 Br 0.8336 0.1661 0.6671  6 Ba 3.42-3.51
11 Br 0.1664 0.8339 0.3329  6 Ba 3.42-3.51
12 Cl 0.5000 0.0000 0.0000  6 Ba 3.30-3.33

Output
As for the space-group type: C2/m (12). The calculation puts the formation energy without anion corrections at -1.634 eV/atom.



No. 12
Material: Pm15Y2Mg2
Method: DFT, PBE
State: optimized geometry

Cell: 8.7698 8.7698 8.7698 Å, 80.18 80.18 80.18°
Closest atoms and distances in Å follow each position.
Sites, in units of the cell vectors:
1 Pm 0.0000 0.5000 0.0000  8 Pm 3.37-3.40, 2 Mg 3.51
2 Pm 0.0000 0.0000 0.5000  8 Pm 3.37-3.40, 2 Mg 3.51
3 Pm 0.5000 0.0000 0.0000  8 Pm 3.37-3.40, 2 Mg 3.51
4 Pm 0.2967 0.0000 0.7033  6 Pm 3.35-3.40, 2 Mg 3.73
5 Pm 0.7033 0.2967 0.0000  6 Pm 3.35-3.40, 2 Mg 3.73
6 Pm 0.0000 0.7033 0.2967  6 Pm 3.35-3.40, 2 Mg 3.73
7 Pm 0.2967 0.7033 0.0000  6 Pm 3.35-3.40, 2 Mg 3.73
8 Pm 0.0000 0.2967 0.7033  6 Pm 3.35-3.40, 2 Mg 3.73
9 Pm 0.7033 0.0000 0.2967  6 Pm 3.35-3.40, 2 Mg 3.73
10 Pm 0.3679 0.8443 0.3679  6 Pm 3.25-3.37
11 Pm 0.3679 0.3679 0.8443  6 Pm 3.25-3.37
12 Pm 0.8443 0.3679 0.3679  6 Pm 3.25-3.37
13 Pm 0.6321 0.1557 0.6321  6 Pm 3.25-3.37
14 Pm 0.6321 0.6321 0.1557  6 Pm 3.25-3.37
15 Pm 0.1557 0.6321 0.6321  6 Pm 3.25-3.37
16 Y 0.6826 0.6826 0.6826  1 Mg 3.95, 15 Pm 4.00-4.20
17 Y 0.3174 0.3174 0.3174  1 Mg 3.95, 15 Pm 4.00-4.20
18 Mg 0.9071 0.9071 0.9071  1 Mg 3.27, 3 Pm 3.51
19 Mg 0.0929 0.0929 0.0929  1 Mg 3.27, 3 Pm 3.51

Output
As for the space-group type: R-3m (166). The energy relative to the elements is 0.215 eV/atom.



Number 1: total DFT energy (no corrections) -4.223 eV/atom. Number 2: total DFT energy (no corrections) -3.345 eV/atom. Number 3: total DFT energy (no corrections) -2.640 eV/atom. Number 4: total DFT energy (no corrections) -1.130 eV/atom. Number 5: total DFT energy (no corrections) -8.753 eV/atom. Number 6: total DFT energy (no corrections) -6.155 eV/atom. Number 7: total DFT energy (no corrections) -4.357 eV/atom. Number 8: total DFT energy (no corrections) -5.988 eV/atom. Number 9: total DFT energy (no corrections) -10.052 eV/atom. Number 10: total DFT energy (no corrections) -6.577 eV/atom. Number 11: total DFT energy (no corrections) -3.942 eV/atom. Number 12: total DFT energy (no corrections) -4.384 eV/atom.